A geometry-optimized Th2PbSe5 structure, computed with PBE.

Values from the calculation:
* crystal system: monoclinic
* spin magnetization: 0.0 μB per cell
* formation energy from raw total energies: -1348 meV/atom
* final energy: -5.84 eV per atom
* space group: C2/c (15)

POSCAR file:
```
Th2PbSe5
1.0
-3.7993 -5.9250 2.0023
5.5059 -1.6190 5.6568
-2.3272 7.3581 3.9854
Se Th Pb
10 4 2
direct
0.6693 0.1635 0.5518 Se
0.1174 0.3365 0.4482 Se
0.4809 0.3998 0.1611 Se
0.9487 0.2500 0.0000 Se
0.6802 0.8998 0.1611 Se
0.3307 0.8365 0.4482 Se
0.5191 0.6002 0.8389 Se
0.0513 0.7500 0.0000 Se
0.3198 0.1002 0.8389 Se
0.8826 0.6635 0.5518 Se
0.8545 0.5639 0.1946 Th
0.1455 0.4361 0.8054 Th
0.6599 0.9361 0.8054 Th
0.3401 0.0639 0.1946 Th
0.5000 0.5000 0.5000 Pb
0.0000 0.0000 0.5000 Pb
```